# Ce2AgBi (PBE, optimized geometry)
data_Ce2AgBi
_cell_length_a 4.218
_cell_length_b 5.185
_cell_length_c 5.185
_cell_angle_alpha 90.00
_cell_angle_beta 90.00
_cell_angle_gamma 90.00
_space_group_name_H-M_alt 'P 1'
_space_group_IT_number 1
loop_
_space_group_symop_operation_xyz
'x,y,z'
loop_
_atom_site_label
_atom_site_type_symbol
_atom_site_fract_x
_atom_site_fract_y
_atom_site_fract_z
Ce1 Ce 0.000 0.000 0.500
Ce2 Ce 0.000 0.500 0.000
Ag1 Ag 0.500 0.500 0.500
Bi1 Bi 0.500 0.000 0.000
# ΔE_f	-373	meV per atom
# calculated density	8.7	g/cm³
# SG	P4/mmm, No. 123